# GGA-PBE AlHPbW2, optimized geometry
# - DOS(E_F) (states/eV per cell) = 6.65
# - volume (Å³ per atom) = 27.328
# - E_tot (eV per atom) = -4.046
data_AlHPbW2
_space_group_name_H-M_alt 'P 4/m m m'
_space_group_IT_number 123
_space_group_name_Hall '-P 4 2'
_cell_length_a 5.159
_cell_length_b 5.159
_cell_length_c 5.134
_cell_angle_alpha 90.00
_cell_angle_beta 90.00
_cell_angle_gamma 90.00
loop_
_atom_site_label
_atom_site_fract_x
_atom_site_fract_y
_atom_site_fract_z
Al1 0.000 0.000 0.000
H1 0.500 0.500 0.000
Pb1 0.000 0.000 0.500
W1 0.000 0.500 0.500

***

# GGA-PBE AlH2Pd4, optimized geometry
# - ΔE to the lowest computed polymorph (eV/atom) = 0.0193
# - DOS(E_F) (states/eV per cell) = 7.79
# - volume (Å³ per atom) = 11.942
# - E_tot (eV per atom) = -4.783
data_AlH2Pd4
_space_group_name_H-M_alt 'C 1 c 1'
_space_group_IT_number 9
_space_group_name_Hall 'C -2yc'
_cell_length_a 5.412
_cell_length_b 9.735
_cell_length_c 6.889
_cell_angle_alpha 90.00
_cell_angle_beta 112.88
_cell_angle_gamma 90.00
loop_
_atom_site_label
_atom_site_fract_x
_atom_site_fract_y
_atom_site_fract_z
Al1 0.000 0.125 0.000
H1 0.107 0.486 0.828
H2 0.275 0.237 0.671
Pd1 0.080 0.185 0.374
Pd2 0.212 0.437 0.125
Pd3 0.278 0.062 0.779
Pd4 0.498 0.188 0.223

***

# GGA-PBE Al2HPd, optimized geometry
# - ΔE to the lowest computed polymorph (eV/atom) = 0.1896
# - DOS(E_F) (states/eV per cell) = 5.31
# - volume (Å³ per atom) = 13.218
# - E_tot (eV per atom) = -4.045
data_Al2HPd
_space_group_name_H-M_alt 'F m -3 m'
_space_group_IT_number 225
_space_group_name_Hall '-F 4 2 3'
_cell_length_a 5.958
_cell_length_b 5.958
_cell_length_c 5.958
_cell_angle_alpha 90.00
_cell_angle_beta 90.00
_cell_angle_gamma 90.00
loop_
_atom_site_label
_atom_site_fract_x
_atom_site_fract_y
_atom_site_fract_z
Al1 0.250 0.250 0.250
H1 0.000 0.000 0.000
Pd1 0.000 0.000 0.500